[1]
# SrTl2CuO4 | the Alexandria database | PBE-GGA | relaxed
data_SrTl2CuO4
_chemical_formula_sum 'Sr4 Tl8 Cu4 O16'
_space_group_name_H-M_alt 'C m c m'
_space_group_IT_number 63
_space_group_name_Hall '-C 2c 2'
_cell_length_a 3.5793
_cell_length_b 12.1476
_cell_length_c 11.3421
_cell_angle_alpha 90.00
_cell_angle_beta 90.00
_cell_angle_gamma 90.00
loop_
_atom_site_label
_atom_site_fract_x
_atom_site_fract_y
_atom_site_fract_z
Sr1 0.0000 0.0931 0.2500
Tl1 0.0000 0.3723 0.0504
Cu1 0.0000 0.1806 0.7500
O1 0.0000 0.0000 0.0000
O2 0.0000 0.2972 0.6289
O3 0.0000 0.4310 0.2500
# Magnetic moment, μB/cell: 0.0
# Calculated total energy, eV/atom: -4.82
# DOS(E_F), states/eV per atom: 0.224

---

[2]
# Sr2TlCuO4 | the Alexandria database | PBE-GGA | relaxed
data_Sr2TlCuO4
_chemical_formula_sum 'Sr2 Tl1 Cu1 O4'
_space_group_name_H-M_alt 'P 1 2/m 1'
_space_group_IT_number 10
_space_group_name_Hall '-P 2y'
_cell_length_a 6.0904
_cell_length_b 3.4644
_cell_length_c 6.5249
_cell_angle_alpha 90.00
_cell_angle_beta 115.82
_cell_angle_gamma 90.00
loop_
_atom_site_label
_atom_site_fract_x
_atom_site_fract_y
_atom_site_fract_z
Sr1 0.0000 0.0000 0.0000
Sr2 0.0000 0.5000 0.5000
Tl1 0.5000 0.0000 0.5000
Cu1 0.5000 0.5000 0.0000
O1 0.2412 0.5000 0.2784
O2 0.2876 0.0000 0.7812
# Magnetic moment, μB/cell: 0.4
# Calculated total energy, eV/atom: -5.20
# DOS(E_F), states/eV per atom: 0.418

---

[3]
# Sr6YTl3Cu6O21 | the Alexandria database | PBE-GGA | relaxed
data_Sr6YTl3Cu6O21
_chemical_formula_sum 'Sr6 Y1 Tl3 Cu6 O21'
_space_group_name_H-M_alt 'P m m m'
_space_group_IT_number 47
_space_group_name_Hall '-P 2 2'
_cell_length_a 3.6868
_cell_length_b 11.0443
_cell_length_c 12.8625
_cell_angle_alpha 90.00
_cell_angle_beta 90.00
_cell_angle_gamma 90.00
loop_
_atom_site_label
_atom_site_fract_x
_atom_site_fract_y
_atom_site_fract_z
Sr1 0.0000 0.0000 0.2074
Sr2 0.0000 0.3328 0.2028
Y1 0.0000 0.0000 0.5000
Tl1 0.5000 0.1645 0.0000
Tl2 0.5000 0.5000 0.0000
Cu1 0.5000 0.1806 0.3755
Cu2 0.5000 0.5000 0.3800
O1 0.0000 0.0000 0.0000
O2 0.0000 0.1548 0.3713
O3 0.0000 0.3250 0.0000
O4 0.0000 0.5000 0.3549
O5 0.5000 0.0000 0.3880
O6 0.5000 0.1615 0.1655
O7 0.5000 0.3393 0.3413
O8 0.5000 0.5000 0.1593
# Magnetic moment, μB/cell: 1.1
# Calculated total energy, eV/atom: -5.55
# DOS(E_F), states/eV per atom: 0.395

---

[4]
# Sr2TmCuO4 | the Alexandria database | PBE-GGA | relaxed
data_Sr2TmCuO4
_chemical_formula_sum 'Sr2 Tm1 Cu1 O4'
_space_group_name_H-M_alt 'P 1 2/m 1'
_space_group_IT_number 10
_space_group_name_Hall '-P 2y'
_cell_length_a 6.0543
_cell_length_b 3.4602
_cell_length_c 6.0952
_cell_angle_alpha 90.00
_cell_angle_beta 111.56
_cell_angle_gamma 90.00
loop_
_atom_site_label
_atom_site_fract_x
_atom_site_fract_y
_atom_site_fract_z
Sr1 0.0000 0.0000 0.0000
Sr2 0.0000 0.5000 0.5000
Tm1 0.5000 0.0000 0.5000
Cu1 0.5000 0.5000 0.0000
O1 0.2670 0.5000 0.2850
O2 0.2801 0.0000 0.7404
# Magnetic moment, μB/cell: 0.1
# Calculated total energy, eV/atom: -6.31